1.
Computed, not measured: a relaxed CeU2CrS6 crystal at the PBE level of DFT.

Unit cell a=6.7772 b=6.7772 c=7.3032 alpha=62.35 beta=62.35 gamma=60.00
With the nearest neighbours (Å) after each atom.
Positions (direct):
Cr (0.3252, 0.3252, 0.0243)  6 S 2.56-2.59
S (0.5902, 0.2219, 0.2455)  1 Cr 2.59, 2 U 2.74, 1 Ce 2.86
S (0.4064, 0.7076, 0.7617)  1 Cr 2.56, 2 U 2.71-2.77, 1 Ce 2.76
S (0.2219, 0.9424, 0.2455)  1 Cr 2.59, 2 U 2.74, 1 Ce 2.86
S (0.7076, 0.1242, 0.7617)  1 Cr 2.56, 2 U 2.71-2.77, 1 Ce 2.76
S (0.1242, 0.4064, 0.7617)  1 Cr 2.56, 2 U 2.71-2.77, 1 Ce 2.76
S (0.9424, 0.5902, 0.2455)  1 Cr 2.59, 2 U 2.74, 1 Ce 2.86
U (0.5176, 0.5176, 0.4471)  6 S 2.74-2.77
U (0.0100, 0.0100, 0.9699)  6 S 2.71-2.74
Ce (0.8159, 0.8159, 0.5523)  6 S 2.76-2.86

Output
Space group: No. 146
Formation energy without anion corrections (meV/atom): -1233

***

2.
Computed, not measured: a relaxed CeScCrTc crystal at the PBE level of DFT.

Unit cell a=4.7565 b=4.7565 c=4.7565 alpha=60.00 beta=60.00 gamma=60.00
With the nearest neighbours (Å) after each atom.
Positions (direct):
Tc (0.7500, 0.7500, 0.7500)  4 Ce 2.91, 4 Sc 2.91
Sc (0.0000, 0.0000, 0.0000)  4 Cr 2.91, 4 Tc 2.91
Cr (0.2500, 0.2500, 0.2500)  4 Ce 2.91, 4 Sc 2.91
Ce (0.5000, 0.5000, 0.5000)  4 Tc 2.91, 4 Cr 2.91

Output
ΔE_f (eV per atom): 0.09
Space group: No. 216

***

3.
Computed, not measured: a relaxed CeScZnCr crystal at the PBE level of DFT.

Unit cell a=4.8858 b=4.8858 c=4.8858 alpha=60.00 beta=60.00 gamma=60.00
With the nearest neighbours (Å) after each atom.
Positions (direct):
Sc (0.5000, 0.5000, 0.5000)  4 Cr 2.99, 4 Zn 2.99
Zn (0.7500, 0.7500, 0.7500)  4 Ce 2.99, 4 Sc 2.99
Cr (0.2500, 0.2500, 0.2500)  4 Sc 2.99, 4 Ce 2.99
Ce (0.0000, 0.0000, 0.0000)  4 Zn 2.99, 4 Cr 2.99

Output
ΔE_f (eV per atom): 0.06
Space group: No. 216

***

4.
Computed, not measured: a relaxed CeCrSe4 crystal at the PBE level of DFT.

Unit cell a=5.6736 b=7.7915 c=7.4751 alpha=116.50 beta=106.06 gamma=101.38
With the nearest neighbours (Å) after each atom.
Positions (direct):
Se (0.8148, 0.4056, 0.1878)  1 Cr 2.61, 1 Se 2.89
Se (0.1852, 0.5944, 0.8122)  1 Cr 2.61, 1 Se 2.89
Se (0.7752, 0.7525, 0.6997)  2 Cr 2.40-2.52
Se (0.4245, 0.9472, 0.6997)  2 Cr 2.40-2.52
Se (0.1270, 0.2179, 0.8122)  1 Cr 2.61, 1 Se 2.89
Se (0.5755, 0.0528, 0.3003)  2 Cr 2.40-2.52
Se (0.2248, 0.2475, 0.3003)  2 Cr 2.40-2.52
Se (0.8730, 0.7821, 0.1878)  1 Cr 2.61, 1 Se 2.89
Ce (0.3661, 0.6161, 0.2322)  8 Se 2.93-3.15
Ce (0.6339, 0.3839, 0.7678)  8 Se 2.93-3.15
Cr (0.7738, 0.0238, 0.0476)  6 Se 2.40-2.61
Cr (0.2262, 0.9762, 0.9524)  6 Se 2.40-2.61

Output
Space group: No. 15
Formation energy without anion corrections (meV/atom): -849

***

no.,energy (eV per atom)
1,-7.523
2,-7.977
3,-5.727
4,-5.765